An optimized crystal structure of KLiMoO3, computed with PBE with a Hubbard U.

Structure (CIF):
```
data_KLiMoO3
_chemical_formula_sum 'K2 Li2 Mo2 O6'
_symmetry_space_group_name_H-M 'P 63/m m c'
_symmetry_Int_Tables_number 194
_symmetry_space_group_name_Hall '-P 6c 2c'
_cell_length_a 5.8787
_cell_length_b 5.8787
_cell_length_c 5.6535
_cell_angle_alpha 90.00
_cell_angle_beta 90.00
_cell_angle_gamma 120.00
loop_
_atom_site_label
_atom_site_type_symbol
_atom_site_fract_x
_atom_site_fract_y
_atom_site_fract_z
K1 K 0.3333 0.6667 0.2500
Li1 Li 0.3333 0.6667 0.7500
Mo1 Mo 0.0000 0.0000 0.0000
O1 O 0.1519 0.3039 0.7500
```

Computed properties:
total magnetic moment = 0.3333 μB/atom
electronic total energy = -5.839 eV/atom